16
Lattice="5.899 0.000 0.000 0.000 6.768 0.000 0.000 0.000 4.328" Properties=species:S:1:pos:R:3 comment="Li3C (PBE, relaxed)" dft_energy_ev_per_fu=-13.25 magnetic_moment_mub_per_fu=0.0 dos_ef_per_ev_atom=0.196 pbc="T T T"
Li 0.136 1.692 0.422
Li 0.952 0.384 2.679
Li 0.952 3.000 2.679
Li 1.997 3.767 0.515
Li 1.997 6.384 0.515
Li 2.813 5.076 2.586
Li 3.086 1.692 1.742
Li 3.902 0.384 3.813
Li 3.902 3.000 3.813
Li 4.947 3.767 1.649
Li 4.947 6.384 1.649
Li 5.763 5.076 3.906
C 0.775 5.076 1.702
C 2.174 1.692 3.867
C 3.725 5.076 0.462
C 5.123 1.692 2.626